Below is an optimized crystal structure of PaMn2PbO6, with properties calculated at the PBE with a Hubbard U level.

Calculated values
total moment: 9.00 μB per formula unit
VASP energy: -7.9476 eV/atom

Cell lengths 5.5475, 5.7083, 5.9547 Å; angles 62.16, 64.62, 62.00 degrees
Sites, in units of the cell vectors:
1 Pa 0.0000 0.0000 0.0000
2 Mn 0.2166 0.2231 0.3618
3 Mn 0.7047 0.6816 0.9143
4 Pb 0.4788 0.4905 0.5611
5 O 0.0342 0.3952 0.6914
6 O 0.2759 0.9352 0.2016
7 O 0.4141 0.8510 0.7206
8 O 0.5959 0.3295 0.1476
9 O 0.8350 0.0040 0.7267
10 O 0.9184 0.5916 0.1640